Entry from Alexandria via LeMat-Bulk: a relaxed Ca2SiW crystal (GGA-PBE).

## Properties
D(E_F) = 2.16 states/eV/cell
calculated volume = 187.8 Å³/cell
total moment = 0.00 μB per formula unit
raw formation energy = 1.2 eV/f.u.
final energy = -5.302 eV per atom

abc: 11.1702 3.4769 5.3225
angles: 90.00 114.68 90.00
Space group Cm (No. 8)
Inequivalent atoms, fractional coordinates:
Ca: 0.0000 0.0000 0.0000
Ca: 0.1950 0.0000 0.6524
Si: 0.2540 0.5000 0.1806
W: 0.4089 0.0000 0.4214